[1]
CsHoHg PBE relaxed; ΔH_f (0 K) = 0.131 eV/atom; density of states at the Fermi level = 6.30 states/eV per cell
1.0
-3.6262 1.0023 1.4094
2.8144 -1.3920 2.5049
5.6332 16.4364 2.8045
Hg Cs Ho
2 2 2
Cartesian
-1.5921 0.3045 1.4132
3.3742 7.7221 3.1897
1.5162 2.3116 2.2570
5.2265 13.1376 4.1043
0.5845 6.6439 2.5049
1.8705 10.3962 3.1452

[2]
Ca2NpGeN5 PBE relaxed; energy relative to the elements, uncorrected = -702 meV per atom
1.0
-1.9209 0.5072 2.7673
6.1302 -2.5180 2.6200
3.9149 10.3796 0.8153
N Ca Np Ge
10 4 2 2
Cartesian
5.4253 5.4979 2.7584
0.1515 3.1899 1.6174
2.5101 4.9018 2.9409
4.6774 2.9798 2.7008
4.7448 8.8303 3.7722
5.6103 3.6242 5.3271
3.7351 -1.5148 2.8704
8.2315 5.8651 4.6391
0.6869 -0.0994 0.4950
1.9242 0.8171 3.2828
3.3611 6.4686 1.1477
6.1531 7.1863 5.0511
2.6040 2.8608 1.2833
4.0315 -0.0393 4.9026
4.0431 4.5646 4.0669
2.4185 -0.6039 1.7895
6.1675 2.4062 3.8403
3.3058 9.5396 2.6433

[3]
AsI4 PBE relaxed; energy relative to the elements, uncorrected = -119 meV per atom
1.0
-3.4267 6.3049 1.5421
-3.5975 -5.5288 -3.2190
-3.3601 -4.1289 10.3831
I As
8 2
Cartesian
-4.7878 -2.1728 5.5724
-3.9147 -3.4141 8.6263
-2.7339 -2.4647 0.1126
-5.5965 -1.1800 3.1338
-7.6504 -0.8882 8.5937
-7.7115 -5.1200 6.8911
-2.6728 1.7672 1.8152
-6.4696 0.0612 0.0799
-3.4560 4.2770 0.7263
-3.5683 -3.5010 -2.4031

[4]
BeAg2Mo PBE relaxed; ΔH_f (0 K) = 0.632 eV/atom; density of states at the Fermi level = 3.20 states/eV per cell
1.0
4.4499 0.0000 0.0000
0.0000 3.7191 0.0000
0.0000 0.0000 3.7191
Be Ag Mo
1 2 1
Cartesian
2.2250 1.8596 0.0000
0.0000 1.8596 1.8596
0.0000 0.0000 0.0000
2.2250 0.0000 1.8596

| no. | raw total energy (eV/atom) |
| --- | --- |
| 1 | -1.780 |
| 2 | -7.723 |
| 3 | -2.289 |
| 4 | -4.433 |